1.
{"formula": "YFe4P", "functional": "PBE", "state": "optimized geometry", "total_energy_ev_per_atom": -7.565, "formation_energy_mev_per_atom": 56, "cell": [[0.000, 3.480, 3.480], [3.480, 0.000, 3.480], [3.480, 3.480, 0.000]], "species": ["Y", "Fe", "Fe", "Fe", "Fe", "P"], "frac_coords": [[0.000, 0.000, 0.000], [0.376, 0.376, 0.376], [0.376, 0.376, 0.873], [0.376, 0.873, 0.376], [0.873, 0.376, 0.376], [0.750, 0.750, 0.750]]}


2.
{"formula": "YFeP3", "functional": "PBE", "state": "optimized geometry", "total_energy_ev_per_atom": -6.347, "relative_energy_mev_per_atom": 0, "formation_energy_mev_per_atom": -116, "cell": [[4.453, 0.000, 0.000], [0.000, 4.453, 0.000], [0.000, 0.000, 4.453]], "species": ["Y", "Fe", "P", "P", "P"], "frac_coords": [[0.000, 0.000, 0.000], [0.500, 0.500, 0.500], [0.000, 0.500, 0.500], [0.500, 0.000, 0.500], [0.500, 0.500, 0.000]]}


3.
{"formula": "YFeP2", "functional": "PBE", "state": "optimized geometry", "total_energy_ev_per_atom": -7.255, "relative_energy_mev_per_atom": 17, "formation_energy_mev_per_atom": -818, "cell": [[1.851, 1.069, 5.488], [-1.851, 1.069, 5.488], [0.000, -2.137, 5.488]], "species": ["Y", "Fe", "P", "P"], "frac_coords": [[0.000, 0.000, 0.000], [0.185, 0.185, 0.185], [0.558, 0.558, 0.558], [0.786, 0.786, 0.786]]}


4.
{"formula": "Y2FeP", "functional": "PBE", "state": "optimized geometry", "total_energy_ev_per_atom": -6.573, "formation_energy_mev_per_atom": 127, "cell": [[0.000, 3.315, 3.315], [3.315, 0.000, 3.315], [3.315, 3.315, 0.000]], "species": ["Y", "Y", "Fe", "P"], "frac_coords": [[0.000, 0.000, 0.000], [0.250, 0.250, 0.250], [0.750, 0.750, 0.750], [0.500, 0.500, 0.500]]}


5.
{"formula": "YFe5P3", "functional": "PBE", "state": "optimized geometry", "total_energy_ev_per_atom": -7.882, "relative_energy_mev_per_atom": 77, "formation_energy_mev_per_atom": -659, "cell": [[1.855, -5.947, 0.000], [1.855, 5.947, 0.000], [0.000, 0.000, 10.708]], "species": ["Y", "Y", "Fe", "Fe", "Fe", "Fe", "Fe", "Fe", "Fe", "Fe", "Fe", "Fe", "P", "P", "P", "P", "P", "P"], "frac_coords": [[0.175, 0.825, 0.750], [0.825, 0.175, 0.250], [0.000, 0.000, 0.000], [0.000, 0.000, 0.500], [0.190, 0.810, 0.063], [0.190, 0.810, 0.437], [0.460, 0.540, 0.639], [0.460, 0.540, 0.861], [0.540, 0.460, 0.139], [0.540, 0.460, 0.361], [0.810, 0.190, 0.563], [0.810, 0.190, 0.937], [0.106, 0.894, 0.250], [0.369, 0.631, 0.045], [0.369, 0.631, 0.455], [0.631, 0.369, 0.545], [0.631, 0.369, 0.955], [0.894, 0.106, 0.750]]}


6.
{"formula": "YFeP", "functional": "PBE", "state": "optimized geometry", "total_energy_ev_per_atom": -7.269, "formation_energy_mev_per_atom": -490, "cell": [[0.000, 3.063, 3.063], [3.063, 0.000, 3.063], [3.063, 3.063, 0.000]], "species": ["Y", "Fe", "P"], "frac_coords": [[0.000, 0.000, 0.000], [0.500, 0.500, 0.500], [0.250, 0.250, 0.250]]}


7.
{"formula": "Y2Fe12P7", "functional": "PBE", "state": "optimized geometry", "total_energy_ev_per_atom": -7.967, "formation_energy_mev_per_atom": -712, "cell": [[8.965, 0.000, 0.000], [-4.482, 7.764, 0.000], [0.000, 0.000, 3.642]], "species": ["Y", "Y", "Fe", "Fe", "Fe", "Fe", "Fe", "Fe", "Fe", "Fe", "Fe", "Fe", "Fe", "Fe", "P", "P", "P", "P", "P", "P", "P"], "frac_coords": [[0.000, 0.000, 0.000], [0.333, 0.667, 0.500], [0.051, 0.285, 0.500], [0.093, 0.704, 0.000], [0.235, 0.949, 0.500], [0.296, 0.389, 0.000], [0.392, 0.178, 0.000], [0.547, 0.429, 0.500], [0.571, 0.119, 0.500], [0.611, 0.907, 0.000], [0.715, 0.765, 0.500], [0.786, 0.608, 0.000], [0.822, 0.214, 0.000], [0.881, 0.453, 0.500], [0.078, 0.447, 0.000], [0.266, 0.222, 0.500], [0.369, 0.922, 0.000], [0.553, 0.631, 0.000], [0.667, 0.333, 0.000], [0.778, 0.044, 0.500], [0.956, 0.734, 0.500]]}


8.
{"formula": "YFe3P", "functional": "PBE", "state": "optimized geometry", "total_energy_ev_per_atom": -7.515, "relative_energy_mev_per_atom": 0, "formation_energy_mev_per_atom": -63, "cell": [[4.195, 0.000, 0.000], [0.000, 4.195, 0.000], [0.000, 0.000, 4.195]], "species": ["Y", "Fe", "Fe", "Fe", "P"], "frac_coords": [[0.000, 0.000, 0.000], [0.000, 0.500, 0.500], [0.500, 0.000, 0.500], [0.500, 0.500, 0.000], [0.500, 0.500, 0.500]]}


9.
{"formula": "YFeP", "functional": "PBE", "state": "optimized geometry", "total_energy_ev_per_atom": -7.749, "formation_energy_mev_per_atom": -970, "cell": [[3.810, 0.000, 0.000], [0.000, 3.810, 0.000], [0.000, 0.000, 6.915]], "species": ["Y", "Y", "Fe", "Fe", "P", "P"], "frac_coords": [[0.250, 0.250, 0.179], [0.750, 0.750, 0.821], [0.250, 0.750, 0.500], [0.750, 0.250, 0.500], [0.250, 0.250, 0.676], [0.750, 0.750, 0.324]]}


10.
{"formula": "YFeP2", "functional": "PBE", "state": "optimized geometry", "total_energy_ev_per_atom": -6.710, "relative_energy_mev_per_atom": 563, "formation_energy_mev_per_atom": -273, "cell": [[-1.913, 1.913, 4.674], [1.913, -1.913, 4.674], [1.913, 1.913, -4.674]], "species": ["Y", "Fe", "P", "P"], "frac_coords": [[0.000, 0.000, 0.000], [0.250, 0.750, 0.500], [0.500, 0.500, 0.000], [0.750, 0.250, 0.500]]}


11.
{"formula": "YFeP2", "functional": "PBE", "state": "optimized geometry", "total_energy_ev_per_atom": -6.755, "relative_energy_mev_per_atom": 517, "formation_energy_mev_per_atom": -319, "cell": [[4.396, 0.000, 0.000], [0.000, 4.396, 0.000], [0.000, 0.000, 3.512]], "species": ["Y", "Fe", "P", "P"], "frac_coords": [[0.000, 0.000, 0.000], [0.500, 0.500, 0.000], [0.000, 0.500, 0.500], [0.500, 0.000, 0.500]]}


12.
{"formula": "YFeP2", "functional": "PBE", "state": "optimized geometry", "total_energy_ev_per_atom": -6.887, "relative_energy_mev_per_atom": 385, "formation_energy_mev_per_atom": -451, "cell": [[1.959, -2.828, 0.000], [1.959, 2.828, 0.000], [0.000, 0.000, 6.257]], "species": ["Y", "Fe", "P", "P"], "frac_coords": [[0.000, 0.000, 0.000], [0.000, 0.000, 0.500], [0.500, 0.500, 0.304], [0.500, 0.500, 0.696]]}